{
  "formula": "Ga2SbPRu",
  "functional": "PBEsol",
  "state": "optimized geometry",
  "lattice_angstrom": [[-3.4959, -2.6223, -1.0386], [2.1584, -1.4225, -3.6734], [2.0788, -3.8448, 2.7103]],
  "species": ["Sb", "Ga", "Ga", "Ru", "P"],
  "fractional_positions": [[0.0000, 0.0000, 0.5000], [0.5000, 0.0000, 0.0000], [0.0000, 0.5000, 0.0000], [0.5000, 0.5000, 0.5000], [0.0000, 0.0000, 0.0000]],
  "raw_formation_energy_ev_per_atom": 0.9798,
  "total_magnetization_mub_per_fu": 1.589
}